First-principles (PBE-GGA) data for a geometry-optimized CsGdF2 structure, as listed in Alexandria.

abc: 8.218 8.218 8.218
angles: 29.50 29.50 29.50
Positions (direct):
Cs1 0.000 0.000 0.000
Gd1 0.500 0.500 0.500
F1 0.407 0.407 0.407
F2 0.593 0.593 0.593

Computed properties:
- formation energy (no corrections) (meV/atom) = -2560
- uncorrected energy (eV for the cell shown) = -28.92
- space group = R-3m, No. 166